# KSb2As | the Alexandria database | PBE-GGA | optimized geometry
# Magnetization: 0.00 μB/cell
# Energy relative to the elements, uncorrected: -0.085 eV per atom
# ρ: 4.76 g cm⁻³
data_KSb2As
_chemical_formula_sum 'K3 Sb6 As3'
_symmetry_space_group_name_H-M 'R 3 m'
_symmetry_Int_Tables_number 160
_symmetry_space_group_name_Hall 'R 3 -2"'
_cell_length_a 4.0010
_cell_length_b 4.0010
_cell_length_c 26.9949
_cell_angle_alpha 90.00
_cell_angle_beta 90.00
_cell_angle_gamma 120.00
loop_
_atom_site_label
_atom_site_type_symbol
_atom_site_fract_x
_atom_site_fract_y
_atom_site_fract_z
K1 K 0.0000 0.0000 0.0000
Sb1 Sb 0.0000 0.0000 0.2291
Sb2 Sb 0.0000 0.0000 0.4830
As1 As 0.0000 0.0000 0.7593